# NiBF2

NiBF2 after structural relaxation (GGA+U, Alexandria).

Unit cell a=8.789 b=8.789 c=8.789 alpha=17.10 beta=17.10 gamma=17.10
Positions (direct):
Ni (0.000, 0.000, 0.000)
B (0.500, 0.500, 0.500)
F (0.448, 0.448, 0.448)
F (0.552, 0.552, 0.552)

The energy above the lowest structure with this stoichiometry is 0 meV per atom. The value obtained for the energy is -15.4 eV/f.u. The density of states at the Fermi level is 0.17 states/eV/atom.